[1]
# Ac3HgPdO | Alexandria | PBE-GGA | relaxed
data_Ac3HgPdO
_chemical_formula_sum 'Ac6 Hg2 Pd2 O2'
_space_group_name_H-M_alt 'P 1 21/m 1'
_space_group_IT_number 11
_cell_length_a 9.413
_cell_length_b 4.359
_cell_length_c 9.753
_cell_angle_alpha 90.00
_cell_angle_beta 100.44
_cell_angle_gamma 90.00
loop_
_space_group_symop_operation_xyz
'x,y,z'
'-x,-y,-z'
'-x,y+1/2,-z'
'x,-y+1/2,z'
loop_
_atom_site_label
_atom_site_fract_x
_atom_site_fract_y
_atom_site_fract_z
Ac1 0.058 0.250 0.332
Ac2 0.325 0.250 0.979
Ac3 0.391 0.750 0.649
Hg1 0.316 0.750 0.273
Pd1 0.165 0.250 0.651
O1 0.418 0.750 0.909
# * raw total energy: -5.106 eV/atom

***

[2]
# AcHgPdO4 | Alexandria | PBE-GGA | relaxed
data_AcHgPdO4
_chemical_formula_sum 'Ac4 Hg4 Pd4 O16'
_space_group_name_H-M_alt 'I m m a'
_space_group_IT_number 74
_space_group_name_Hall '-I 2b 2'
_cell_length_a 6.660
_cell_length_b 8.430
_cell_length_c 9.012
_cell_angle_alpha 90.00
_cell_angle_beta 90.00
_cell_angle_gamma 90.00
loop_
_atom_site_label
_atom_site_fract_x
_atom_site_fract_y
_atom_site_fract_z
Ac1 0.000 0.000 0.000
Hg1 0.000 0.250 0.444
Pd1 0.250 0.250 0.750
O1 0.000 0.097 0.736
O2 0.201 0.250 0.032
# * raw total energy: -5.517 eV/atom

***

[3]
# Ac2HgPdO6 | Alexandria | PBE-GGA | relaxed
data_Ac2HgPdO6
_chemical_formula_sum 'Ac4 Hg2 Pd2 O12'
_space_group_name_H-M_alt 'P 1 21/c 1'
_space_group_IT_number 14
_cell_length_a 5.850
_cell_length_b 6.297
_cell_length_c 10.063
_cell_angle_alpha 90.00
_cell_angle_beta 125.25
_cell_angle_gamma 90.00
loop_
_space_group_symop_operation_xyz
'x,y,z'
'-x,-y,-z'
'-x,y+1/2,-z+1/2'
'x,-y+1/2,z+1/2'
loop_
_atom_site_label
_atom_site_fract_x
_atom_site_fract_y
_atom_site_fract_z
Ac1 0.230 0.068 0.249
Hg1 0.000 0.000 0.500
Pd1 0.500 0.000 0.000
O1 0.162 0.174 0.953
O2 0.269 0.722 0.936
O3 0.376 0.047 0.766
# * raw total energy: -6.224 eV/atom

***

[4]
# AcHgPdO | Alexandria | PBE-GGA | relaxed
data_AcHgPdO
_chemical_formula_sum 'Ac2 Hg2 Pd2 O2'
_space_group_name_H-M_alt 'P 4/n m m'
_space_group_IT_number 129
_cell_length_a 4.395
_cell_length_b 4.395
_cell_length_c 9.152
_cell_angle_alpha 90.00
_cell_angle_beta 90.00
_cell_angle_gamma 90.00
loop_
_space_group_symop_operation_xyz
'x,y,z'
'-x,-y,-z'
'-y+1/2,x,z'
'y+1/2,-x,-z'
'-x+1/2,-y+1/2,z'
'x+1/2,y+1/2,-z'
'y,-x+1/2,z'
'-y,x+1/2,-z'
'x+1/2,-y,-z'
'-x+1/2,y,z'
'-y,-x,-z'
'y,x,z'
'-x,y+1/2,-z'
'x,-y+1/2,z'
'y+1/2,x+1/2,-z'
'-y+1/2,-x+1/2,z'
loop_
_atom_site_label
_atom_site_fract_x
_atom_site_fract_y
_atom_site_fract_z
Ac1 0.250 0.250 0.132
Hg1 0.250 0.750 0.500
Pd1 0.250 0.250 0.688
O1 0.250 0.750 0.000
# * raw total energy: -5.185 eV/atom

***

[5]
# AcPrHgO2 | Alexandria | PBE-GGA | relaxed
data_AcPrHgO2
_chemical_formula_sum 'Ac2 Pr2 Hg2 O4'
_space_group_name_H-M_alt 'I 4 m m'
_space_group_IT_number 107
_space_group_name_Hall 'I 4 -2'
_cell_length_a 4.230
_cell_length_b 4.230
_cell_length_c 13.243
_cell_angle_alpha 90.00
_cell_angle_beta 90.00
_cell_angle_gamma 90.00
loop_
_atom_site_label
_atom_site_fract_x
_atom_site_fract_y
_atom_site_fract_z
Ac1 0.000 0.000 0.000
Pr1 0.000 0.000 0.680
Hg1 0.000 0.000 0.342
O1 0.000 0.500 0.097
# * raw total energy: -6.201 eV/atom

***

[6]
# AcHg2PtO6 | Alexandria | PBE-GGA | relaxed
data_AcHg2PtO6
_chemical_formula_sum 'Ac2 Hg4 Pt2 O12'
_space_group_name_H-M_alt 'P 1 21/c 1'
_space_group_IT_number 14
_cell_length_a 5.941
_cell_length_b 5.933
_cell_length_c 10.249
_cell_angle_alpha 90.00
_cell_angle_beta 124.46
_cell_angle_gamma 90.00
loop_
_space_group_symop_operation_xyz
'x,y,z'
'-x,-y,-z'
'-x,y+1/2,-z+1/2'
'x,-y+1/2,z+1/2'
loop_
_atom_site_label
_atom_site_fract_x
_atom_site_fract_y
_atom_site_fract_z
Ac1 0.000 0.000 0.000
Hg1 0.244 0.031 0.742
Pt1 0.500 0.000 0.500
O1 0.178 0.096 0.285
O2 0.254 0.657 0.042
O3 0.431 0.220 0.082
# * raw total energy: -5.100 eV/atom

***

In order of appearance, formation energy without anion corrections = -1309.9; -1312.0; -1878.2; -1544.6; -2379.4; -1049.7 meV/atom.